Below is TlCuAgAu after structural relaxation, with properties calculated at the GGA-PBE level.

abc: 4.7151 4.7151 4.7151
angles: 60.00 60.00 60.00
With the nearest neighbours (Å) after each atom.
Sites, in units of the cell vectors:
Cu 0.2500 0.2500 0.2500  4 Tl 2.89, 4 Au 2.89
Au 0.5000 0.5000 0.5000  4 Cu 2.89, 4 Ag 2.89
Ag 0.7500 0.7500 0.7500  4 Tl 2.89, 4 Au 2.89
Tl 0.0000 0.0000 0.0000  4 Cu 2.89, 4 Ag 2.89

**Formation energy from the elements**: 16 kJ/mol of atoms
**Electronic total energy**: -11.95 eV/f.u.